[1]
Below is CrIr5Os2 after structural relaxation, with properties calculated at the PBE level.

Computed properties:
DFT formation energy = 37.3 kJ/mol of atoms
crystal system = tetragonal
density = 19.14 g/cm³

Unit cell a=6.5690 b=6.5690 c=11.2070 alpha=90.00 beta=90.00 gamma=90.00
Space group I4/mcm (No. 140)
Asymmetric unit:
Cr: 0.0000 0.0000 0.2500 x4
Ir: 0.0000 0.0000 0.0000 x4
Ir: 0.1472 0.3528 0.1704 x16
Os: 0.1352 0.3648 0.5000 x8

[2]
Below is Cr2IrOs after structural relaxation, with properties calculated at the PBE level.

Computed properties:
DFT formation energy = 9.1 kJ/mol of atoms
energy relative to the lowest polymorph listed for this composition = 3.07 kcal/mol of atoms
crystal system = tetragonal
density = 15.42 g/cm³

Unit cell a=2.8076 b=2.8076 c=6.6450 alpha=90.00 beta=90.00 gamma=90.00
Space group P4mm (No. 99)
Asymmetric unit:
Cr: 0.0000 0.0000 0.0000 x1
Cr: 0.5000 0.5000 0.1979 x1
Ir: 0.0000 0.0000 0.4554 x1
Os: 0.5000 0.5000 0.7548 x1

[3]
Below is Cr2Ir2Os after structural relaxation, with properties calculated at the PBE level.

Computed properties:
DFT formation energy = 11.0 kJ/mol of atoms
crystal system = tetragonal
density = 16.28 g/cm³

Unit cell a=7.1599 b=7.1599 c=2.7010 alpha=90.00 beta=90.00 gamma=90.00
Space group P4/mbm (No. 127)
Asymmetric unit:
Cr: 0.1700 0.3300 0.0000 x4
Ir: 0.1287 0.6287 0.5000 x4
Os: 0.0000 0.0000 0.5000 x2

[4]
Below is CrIr2Os after structural relaxation, with properties calculated at the PBE level.

Computed properties:
DFT formation energy = -3.2 kJ/mol of atoms
energy relative to the lowest polymorph listed for this composition = 3.08 kcal/mol of atoms
crystal system = trigonal
density = 18.78 g/cm³

Unit cell a=2.7123 b=2.7123 c=8.6963 alpha=90.00 beta=90.00 gamma=120.00
Space group P-3m1 (No. 164)
Asymmetric unit:
Cr: 0.0000 0.0000 0.0000 x1
Ir: 0.3333 0.6667 0.2407 x2
Os: 0.0000 0.0000 0.5000 x1

[5]
Below is CrIr2Os after structural relaxation, with properties calculated at the PBE level.

Computed properties:
DFT formation energy = -7.3 kJ/mol of atoms
energy relative to the lowest polymorph listed for this composition = 2.10 kcal/mol of atoms
crystal system = orthorhombic
density = 18.70 g/cm³

Unit cell a=2.7091 b=3.8091 c=5.3939 alpha=90.00 beta=90.00 gamma=90.00
Space group Pmmm (No. 47)
Asymmetric unit:
Cr: 0.0000 0.0000 0.0000 x1
Ir: 0.5000 0.5000 0.2463 x2
Os: 0.0000 0.0000 0.5000 x1

[6]
Below is CrIr2Os after structural relaxation, with properties calculated at the PBE level.

Computed properties:
DFT formation energy = 52.8 kJ/mol of atoms
energy relative to the lowest polymorph listed for this composition = 16.46 kcal/mol of atoms
crystal system = cubic
density = 18.19 g/cm³

Unit cell a=6.1161 b=6.1161 c=6.1161 alpha=90.00 beta=90.00 gamma=90.00
Space group Fm-3m (No. 225)
Asymmetric unit:
Cr: 0.0000 0.0000 0.0000 x4
Ir: 0.2500 0.2500 0.2500 x8
Os: 0.0000 0.0000 0.5000 x4

[7]
Below is CrIr2Os after structural relaxation, with properties calculated at the PBE level.

Computed properties:
DFT formation energy = -7.9 kJ/mol of atoms
energy relative to the lowest polymorph listed for this composition = 1.95 kcal/mol of atoms
crystal system = tetragonal
density = 18.75 g/cm³

Unit cell a=3.8227 b=3.8227 c=7.5958 alpha=90.00 beta=90.00 gamma=90.00
Space group I-4m2 (No. 119)
Asymmetric unit:
Cr: 0.0000 0.0000 0.0000 x2
Ir: 0.0000 0.0000 0.5000 x2
Ir: 0.0000 0.5000 0.2500 x2
Os: 0.0000 0.5000 0.7500 x2

[8]
Below is CrIr3Os after structural relaxation, with properties calculated at the PBE level.

Computed properties:
DFT formation energy = 170.8 kJ/mol of atoms
energy relative to the lowest polymorph listed for this composition = 39.95 kcal/mol of atoms
crystal system = cubic
density = 15.81 g/cm³

Unit cell a=4.4137 b=4.4137 c=4.4137 alpha=90.00 beta=90.00 gamma=90.00
Space group Pm-3m (No. 221)
Asymmetric unit:
Cr: 0.0000 0.0000 0.0000 x1
Ir: 0.0000 0.0000 0.5000 x3
Os: 0.5000 0.5000 0.5000 x1